#i
First-principles (PBE-GGA) data for a relaxed Sr2CrRe crystal, as listed in Alexandria via LeMat-Bulk.

a b c (Å): 3.0963 4.6842 7.1221
angles (deg): 90.00 90.00 90.00
Closest atoms and distances in Å follow each position.
Atoms (fractional coordinates):
Sr 0.0000 0.0000 0.2351  3 Sr 3.10-3.35, 4 Re 3.27, 4 Cr 3.38
Sr 0.0000 0.0000 0.7649  3 Sr 3.10-3.35, 4 Re 3.27, 4 Cr 3.38
Cr 0.5000 0.5000 0.5000  2 Cr 3.10, 8 Sr 3.38
Re 0.5000 0.5000 0.0000  2 Re 3.10, 8 Sr 3.27



#ii
First-principles (PBE-GGA) data for a relaxed Sr2CrRe crystal, as listed in Alexandria via LeMat-Bulk.

a b c (Å): 6.7603 6.7603 6.7603
angles (deg): 101.27 101.27 127.54
Closest atoms and distances in Å follow each position.
Atoms (fractional coordinates):
Sr 0.1107 0.6250 0.9857  2 Sr 3.00, 2 Re 3.04, 2 Cr 3.21
Sr 0.3750 0.3607 0.4857  2 Sr 3.00, 2 Re 3.04, 2 Cr 3.21
Sr 0.6393 0.1250 0.0143  2 Sr 3.00, 2 Re 3.04, 2 Cr 3.21
Sr 0.8750 0.8893 0.5143  2 Sr 3.00, 2 Re 3.04, 2 Cr 3.21
Cr 0.2500 0.7500 0.5000  2 Re 2.99, 4 Sr 3.21
Cr 0.5000 0.5000 0.0000  2 Re 2.99, 4 Sr 3.21
Re 0.0000 0.0000 0.0000  2 Cr 2.99, 4 Sr 3.04
Re 0.7500 0.2500 0.5000  2 Cr 2.99, 4 Sr 3.04



Pick the most stable structure from those above. Pick: #i